The following is a DFT calculation (PBE) of an optimized crystal structure of KBaHg2Pt2.

Output
The total moment is 0.00 μB/f.u. The formation energy is -0.39 eV per atom.

Lattice parameters (Å, degrees): 4.751 4.751 9.041 90.00 90.00 120.00
Fractional coordinates of all 6 atoms:
K (0.000, 0.000, 0.000)
Ba (0.000, 0.000, 0.500)
Hg (0.333, 0.667, 0.754)
Hg (0.667, 0.333, 0.246)
Pt (0.333, 0.667, 0.273)
Pt (0.667, 0.333, 0.727)



The following is a DFT calculation (PBE) of an optimized crystal structure of KRbBaHg2.

Output
The total moment is 0.00 μB/f.u. The formation energy is 0.27 eV per atom.

Lattice parameters (Å, degrees): 6.587 6.587 7.528 90.00 90.00 90.00
Fractional coordinates of all 5 atoms:
K (0.000, 0.000, 0.000)
Rb (0.500, 0.500, 0.500)
Ba (0.500, 0.500, 0.000)
Hg (0.000, 0.500, 0.500)
Hg (0.500, 0.000, 0.500)



The following is a DFT calculation (PBE) of an optimized crystal structure of K2BaHg2Sb2.

Output
Its formation energy (no corrections) is -0.44 eV/atom. The total moment is 0.00 μB/f.u.

Lattice parameters (Å, degrees): 10.327 10.327 10.327 29.38 29.38 29.38
Fractional coordinates of all 7 atoms:
K (0.142, 0.142, 0.142)
K (0.858, 0.858, 0.858)
Ba (0.000, 0.000, 0.000)
Hg (0.435, 0.435, 0.435)
Hg (0.565, 0.565, 0.565)
Sb (0.264, 0.264, 0.264)
Sb (0.736, 0.736, 0.736)